DFT (PBE+U) results for a geometry-optimized YRe2MoF structure.

Lattice parameters (Å, degrees): 4.601 4.601 4.213 90.00 90.00 90.00
Element x y z (fractional)
Y1 0.000 0.000 0.000
Re1 0.000 0.500 0.500
Re2 0.500 0.000 0.500
Mo1 0.500 0.500 0.000
F1 0.500 0.500 0.500

Summary:
- Uncorrected energy: -7.101 eV/atom
- Total moment: 0.300 μB per atom
- D(E_F): 5.55 states/eV/cell